(1)
Material: Rb2TcWO6
Method: DFT, PBE with a Hubbard U
State: optimized geometry

Values from the calculation:
Total moment: 0.6 μB per formula unit
Calculated total energy: -6.557 eV/atom

a = 5.482 Å, b = 5.482 Å, c = 6.988 Å
α = 66.89°, β = 66.89°, γ = 90.00°
Last column: magnetic moment on the atom in μB.
Fractional coordinates of all 10 atoms:
O 0.258 0.742 0.000  0.01
O 0.839 0.839 0.323  0.01
O 0.161 0.161 0.677  0.01
O 0.742 0.742 0.000  0.01
O 0.258 0.258 0.000  0.01
O 0.742 0.258 0.000  0.01
Rb 0.750 0.250 0.500  0.00
Rb 0.250 0.750 0.500  0.00
Tc 0.500 0.500 0.000  0.43
W 0.000 0.000 0.000  0.05

(2)
Material: RbTc2WO
Method: DFT, PBE with a Hubbard U
State: optimized geometry

Values from the calculation:
Total moment: 4.0 μB per formula unit
Calculated total energy: -5.543 eV/atom

a = 5.184 Å, b = 4.041 Å, c = 5.184 Å
α = 90.00°, β = 90.00°, γ = 90.00°
Last column: magnetic moment on the atom in μB.
Fractional coordinates of all 5 atoms:
O 0.000 0.500 0.000  0.19
Tc 0.500 0.000 0.000  2.14
Tc 0.000 0.000 0.500  2.29
Rb 0.500 0.500 0.500  0.05
W 0.000 0.000 0.000  -1.27

The lowest calculated total energy belongs to which entry?
Rb2TcWO6